Entry 1:
Below is a relaxed structure of Pr2HoC2Cl2, with properties calculated at the PBE level.

Formation energy (no corrections), eV per atom: -0.80

a = 8.0651 Å, b = 8.0651 Å, c = 8.0651 Å
α = 147.21°, β = 147.21°, γ = 47.05°
Closest atoms and distances in Å follow each position.
Element x y z (fractional)
1 Pr 0.1060 0.1060 0.0000  4 C 2.76, 1 Cl 2.99
2 Pr 0.8940 0.8940 0.0000  4 C 2.76, 1 Cl 2.99
3 Ho 0.5000 0.5000 0.0000  4 C 2.28
4 C 0.0000 0.5000 0.5000  2 Ho 2.28
5 C 0.5000 0.0000 0.5000  2 Ho 2.28
6 Cl 0.3079 0.3079 0.0000  1 Ho 2.84, 1 Pr 2.99
7 Cl 0.6921 0.6921 0.0000  1 Ho 2.84, 1 Pr 2.99



Entry 2:
Below is a relaxed structure of Ho6C2S3Cl, with properties calculated at the PBE level.

Formation energy (no corrections), eV per atom: -1.45

a = 8.4874 Å, b = 8.4874 Å, c = 7.7568 Å
α = 102.37°, β = 102.37°, γ = 25.42°
Closest atoms and distances in Å follow each position.
Element x y z (fractional)
1 Ho 0.0198 0.0198 0.2769  1 C 2.41, 2 S 2.62
2 Ho 0.3234 0.3234 0.8713  2 C 2.47, 1 S 2.69
3 Ho 0.3247 0.3247 0.4362  3 C 2.53-2.57
4 Ho 0.6753 0.6753 0.5638  3 C 2.53-2.57
5 Ho 0.6766 0.6766 0.1287  2 C 2.47, 1 S 2.69
6 Ho 0.9802 0.9802 0.7231  1 C 2.41, 2 S 2.62
7 C 0.1688 0.1688 0.3335  6 Ho 2.41-2.57
8 C 0.8312 0.8312 0.6665  6 Ho 2.41-2.57
9 S 0.1581 0.1581 0.8380  6 Ho 2.69-2.89
10 S 0.5000 0.5000 0.5000  6 Ho 2.62-2.84
11 S 0.8419 0.8419 0.1620  6 Ho 2.69-2.89
12 Cl 0.5000 0.5000 0.0000  6 Ho 2.81-2.88



Q: Look up the formation energy (no corrections) of the first one.
A: -0.80 eV per atom



Q: Which of these has the lowest formation energy (no corrections)?
A: Ho6C2S3Cl



Q: Which formula does entry 1 have?
A: Pr2HoC2Cl2



Q: formation energy (no corrections) of number 2 (Ho6C2S3Cl)?
A: -1.45 eV per atom